No. 1
Material: BaBe2Nb
Method: DFT, PBE-GGA
State: relaxed Values from VASP.

```
&SYSTEM
  ibrav = 0, nat = 4, ntyp = 3
/
ATOMIC_SPECIES
Ba 137.33 Ba.upf
Be 9.01 Be.upf
Nb 92.91 Nb.upf
ATOMIC_POSITIONS angstrom
Ba 0.000 0.000 0.000
Be 1.699 1.699 1.699
Be 5.098 5.098 5.098
Nb 3.399 3.399 3.399
CELL_PARAMETERS angstrom
0.000 3.399 3.399
3.399 0.000 3.399
3.399 3.399 0.000
```

Values from the calculation:
polymorph energy (0 for the lowest one): 0.0 meV/atom

***

No. 2
Material: Tb3MgSi4
Method: DFT, PBE-GGA
State: relaxed Values from VASP.

```
&SYSTEM
  ibrav = 0, nat = 8, ntyp = 3
/
ATOMIC_SPECIES
Tb 158.93 Tb.upf
Mg 24.30 Mg.upf
Si 28.09 Si.upf
ATOMIC_POSITIONS angstrom
Tb 0.000 0.000 0.000
Tb 2.077 0.000 4.685
Tb 0.000 2.978 2.904
Mg 0.000 0.000 7.589
Si 2.077 1.147 -1.947
Si 2.077 1.147 1.947
Si 0.000 1.831 5.642
Si 0.000 1.831 9.536
CELL_PARAMETERS angstrom
-2.077 2.978 7.589
2.077 -2.978 7.589
2.077 2.978 -7.589
```

Values from the calculation:
formation energy (no corrections): -0.515 eV/atom

***

Energy readings, ordered: -3.81 -5.16 eV per atom
Total moment readings, ordered: 0.000 0.000 μB/atom